Record 1
Compound: Pm5Pr2Dy
Source: Alexandria
Functional: PBE-GGA
Structure: optimized geometry

Unit cell a=10.1881 b=6.6869 c=10.8955 alpha=117.99 beta=117.87 gamma=90.00
Sites, in units of the cell vectors:
Pr 0.1741 0.4701 0.8339
Pr 0.8259 0.5299 0.1661
Pr 0.3402 0.0299 0.1661
Pr 0.6598 0.9701 0.8339
Dy 0.5000 0.5000 0.5000
Dy 0.0000 0.0000 0.5000
Pm 0.6877 0.0398 0.1953
Pm 0.5076 0.5398 0.1953
Pm 0.4924 0.4602 0.8047
Pm 0.8805 0.6207 0.5920
Pm 0.3123 0.9602 0.8047
Pm 0.0635 0.2500 0.0000
Pm 0.1195 0.3793 0.4080
Pm 0.2885 0.8793 0.4080
Pm 0.9365 0.7500 0.0000
Pm 0.7115 0.1207 0.5920

Computed properties:
relative energy among the computed polymorphs = 1.06 eV per formula unit
formation enthalpy at 0 K = 147 meV per atom
crystal system = monoclinic

Record 2
Compound: YSb2RhAu
Source: Alexandria
Functional: PBE-GGA
Structure: optimized geometry

Unit cell a=5.2465 b=5.0181 c=5.2465 alpha=90.00 beta=90.00 gamma=90.00
Sites, in units of the cell vectors:
Au 0.0000 0.0000 0.0000
Y 0.5000 0.5000 0.5000
Sb 0.0000 0.0000 0.5000
Sb 0.5000 0.0000 0.0000
Rh 0.0000 0.5000 0.0000

Computed properties:
E_form (uncorrected) = 329 meV per atom
crystal system = tetragonal

Record 3
Compound: HoMn2Ga2C
Source: Alexandria
Functional: PBE-GGA
Structure: optimized geometry

Unit cell a=3.8988 b=3.8988 c=5.5522 alpha=90.00 beta=90.00 gamma=90.00
Site moments in Bohr magnetons follow the coordinates.
Sites, in units of the cell vectors:
Ga 0.5000 0.5000 0.2766  -0.06
Ga 0.5000 0.5000 0.7234  -0.06
C 0.0000 0.0000 0.0000  -0.10
Mn 0.0000 0.5000 0.0000  1.07
Mn 0.5000 0.0000 0.0000  1.07
Ho 0.0000 0.0000 0.5000  -0.11

Computed properties:
formation enthalpy at 0 K = -365 meV per atom
crystal system = tetragonal

Record 4
Compound: ReSiOs2
Source: Alexandria
Functional: PBE-GGA
Structure: optimized geometry

Unit cell a=4.0197 b=2.7771 c=5.2639 alpha=73.51 beta=90.00 gamma=90.00
Sites, in units of the cell vectors:
Re 0.5000 0.2500 0.2500
Os 0.0000 0.6156 0.5133
Os 0.0000 0.8844 0.9867
Si 0.5000 0.7500 0.7500

Computed properties:
E_form (uncorrected) = -12 meV per atom
crystal system = monoclinic

Record 5
Compound: Zr2ScSn2
Source: Alexandria
Functional: PBE-GGA
Structure: optimized geometry

Unit cell a=8.5991 b=8.5991 c=3.2272 alpha=90.00 beta=90.00 gamma=90.00
Site moments in Bohr magnetons follow the coordinates.
Sites, in units of the cell vectors:
Zr 0.3776 0.8776 0.0000  0.01
Zr 0.8776 0.6224 0.0000  0.00
Zr 0.6224 0.1224 0.0000  0.01
Zr 0.1224 0.3776 0.0000  0.00
Sn 0.3250 0.1750 0.5000  -0.01
Sn 0.8250 0.3250 0.5000  0.00
Sn 0.6750 0.8250 0.5000  -0.01
Sn 0.1750 0.6750 0.5000  0.00
Sc 0.0000 0.0000 0.0000  0.31
Sc 0.5000 0.5000 0.0000  0.31

Computed properties:
relative energy among the computed polymorphs = 1.41 eV per formula unit
formation enthalpy at 0 K = -239 meV per atom
crystal system = tetragonal

Record 6
Compound: La12Cu5Pb
Source: Alexandria
Functional: PBE-GGA
Structure: optimized geometry

Unit cell a=8.9342 b=8.9342 c=8.9342 alpha=101.24 beta=116.18 gamma=111.34
Sites, in units of the cell vectors:
Cu 0.5000 0.8846 0.3846
Cu 0.3627 0.3627 0.0000
Cu 0.5000 0.1154 0.6154
Cu 0.0000 0.0000 0.0000
Cu 0.6373 0.6373 0.0000
La 0.3036 0.6796 0.9832
La 0.6964 0.3204 0.0168
La 0.8949 0.1858 0.7091
La 0.6964 0.6796 0.3760
La 0.8124 0.5952 0.7827
La 0.5232 0.8142 0.7091
La 0.1876 0.9703 0.7827
La 0.4768 0.1858 0.2909
La 0.1876 0.4048 0.2173
La 0.8124 0.0297 0.2173
La 0.1051 0.8142 0.2909
La 0.3036 0.3204 0.6240
Pb 0.0000 0.5000 0.5000

Computed properties:
formation enthalpy at 0 K = -154 meV per atom
crystal system = orthorhombic

Number 1: uncorrected energy -4.59 eV per atom. Number 2: uncorrected energy -4.74 eV per atom. Number 3: uncorrected energy -6.73 eV per atom. Number 4: uncorrected energy -10.09 eV per atom. Number 5: uncorrected energy -6.53 eV per atom. Number 6: uncorrected energy -4.78 eV per atom.